Entry 1:
Entry from the Open Quantum Materials Database: a relaxed KGd2CuNi crystal (PBE).

```
5
Lattice="3.7569 0.0000 0.0000 0.0000 2.1257 8.7868 0.0000 -2.1257 8.7868" Properties=species:S:1:pos:R:3 pbc="T T T"
Cu 0.0000 0.0000 3.6274
Gd 1.8785 0.0000 5.8342
Gd 1.8785 0.0000 11.8030
K 0.0000 0.0000 17.5717
Ni 0.0000 0.0000 13.8845
```

Computed properties:
Crystal system   orthorhombic
Energy   -4.021 eV/atom

Entry 2:
Entry from the Open Quantum Materials Database: a relaxed Cu2Ag3 crystal (PBE).

```
10
Lattice="-1.8389 5.1543 5.1694 -4.2474 2.2693 5.7862 4.1339 -2.8636 2.7482" Properties=species:S:1:pos:R:3 pbc="T T T"
Ag -0.3020 2.1296 8.7810
Ag 1.2677 -0.2420 3.8179
Ag 0.4225 1.0147 6.3955
Ag -1.1226 3.3558 11.3118
Ag -3.2722 4.8398 9.8593
Ag -2.4014 3.5666 7.3046
Cu -1.6253 2.4237 4.9897
Cu -0.7952 1.1894 2.4579
Cu -6.0185 7.3681 10.9608
Cu -4.0684 6.0098 12.2222
```

Computed properties:
Crystal system   monoclinic
Formation energy   0.4 eV per formula unit

Entry 3:
Entry from the Open Quantum Materials Database: a relaxed SrZnGe crystal (PBE).

```
9
Lattice="-2.3861 2.1440 -1.1251 -5.6012 -2.9841 6.1926 5.3231 6.8625 1.7878" Properties=species:S:1:pos:R:3 pbc="T T T"
Zn -1.3784 3.6573 4.7571
Zn -3.0582 0.0807 1.5041
Zn 0.5792 3.3592 0.0375
Ge -2.0542 1.5874 7.3816
Ge -0.0928 1.2941 2.6629
Ge 1.5911 4.8731 5.9118
Sr -3.1547 1.3689 4.1634
Sr 0.4904 4.6544 2.6937
Sr -1.4710 4.9493 7.4156
```

Computed properties:
Crystal system   orthorhombic
Energy   -2.412 eV/atom

Entry 4:
Entry from the Open Quantum Materials Database: a relaxed HfBeInFe crystal (PBE).

```
4
Lattice="3.5578 1.1703 2.2999 -0.4520 2.1809 3.7890 0.9105 -1.9976 3.8075" Properties=species:S:1:pos:R:3 pbc="T T T"
Be 1.0041 0.3384 2.4741
Hf 2.0082 0.6768 4.9482
In 0.0000 0.0000 0.0000
Fe 3.0122 1.0152 7.4222
```

Computed properties:
Crystal system   cubic
Energy   -6.143 eV/atom

Entry 5:
Entry from the Open Quantum Materials Database: a relaxed Ho4Al4O11 crystal (PBE).

```
19
Lattice="-2.9842 1.4967 3.9187 1.2298 -4.4641 2.6044 5.7470 3.3993 3.0910" Properties=species:S:1:pos:R:3 pbc="T T T"
O 2.5876 3.3198 4.6945
O 2.7859 1.2497 3.0202
O 3.1360 -0.8552 4.6848
O 5.1297 2.6391 4.2952
O 2.2334 1.5880 7.2472
O 5.4703 0.5438 5.9445
O 0.8513 1.2702 4.9206
O 1.7633 -1.1492 2.3656
O 1.3957 -2.9028 4.9492
O -1.1310 -2.2036 5.3280
O 1.2174 -0.8110 6.5835
Ho 0.5524 -0.8650 4.2243
Ho 3.4055 1.2849 5.3783
Ho -1.4375 2.0887 4.7879
Ho 5.4403 -1.6389 4.8317
Al 2.6081 -2.0179 6.1061
Al -1.4946 0.7453 1.9727
Al 0.5031 0.9633 6.7650
Al -2.3582 -0.7198 5.1954
```

Computed properties:
Crystal system   triclinic
Energy   -7.788 eV/atom

Entry 6:
Entry from the Open Quantum Materials Database: a relaxed TmNbNO crystal (PBE).

```
8
Lattice="-0.7728 1.2728 3.6707 -3.0713 -2.4921 0.2175 4.6804 -5.5152 2.8976" Properties=species:S:1:pos:R:3 pbc="T T T"
Tm 0.2046 -0.0601 2.2012
Tm 2.5538 -6.0648 2.6405
N 0.3379 -3.4538 1.2687
N 2.4205 -2.6711 3.5731
O -1.9220 -0.6097 1.9441
O 0.0000 0.0000 0.0000
Nb 2.3402 -2.7576 1.4488
Nb 0.4182 -3.3673 3.3929
```

Computed properties:
Crystal system   tetragonal
Energy   -8.734 eV/atom

Entry 7:
Entry from the Open Quantum Materials Database: a relaxed DyYSn2Pt4 crystal (PBE).

```
8
Lattice="4.5663 0.0000 0.0000 -2.2832 3.9546 0.0000 0.0000 0.0000 9.0672" Properties=species:S:1:pos:R:3 pbc="T T T"
Pt 2.2832 1.3182 7.6191
Pt 0.0000 0.0000 3.0698
Pt 2.2832 1.3182 1.4481
Pt 0.0000 0.0000 5.9974
Sn 0.0000 2.6364 6.7984
Sn 0.0000 2.6364 2.2688
Dy 0.0000 0.0000 0.0000
Y 2.2832 1.3182 4.5336
```

Computed properties:
Crystal system   hexagonal
Energy   -6.421 eV/atom

Entry 8:
Entry from the Open Quantum Materials Database: a relaxed LuZn6Ge6 crystal (PBE).

```
13
Lattice="5.5646 0.0000 0.0000 -2.7823 4.8191 0.0000 0.0000 0.0000 8.7786" Properties=species:S:1:pos:R:3 pbc="T T T"
Ge 2.7823 1.6064 0.0000
Ge 0.0000 0.0000 3.0561
Ge 0.0000 0.0000 5.7225
Ge 0.0000 3.2127 0.0000
Ge 0.0000 3.2127 4.3893
Ge 2.7823 1.6064 4.3893
Zn 1.3912 2.4096 2.1614
Zn -1.3912 2.4096 2.1614
Zn 1.3912 2.4096 6.6172
Zn 2.7823 0.0000 2.1614
Zn -1.3912 2.4096 6.6172
Zn 2.7823 0.0000 6.6172
Lu 0.0000 0.0000 0.0000
```

Computed properties:
Crystal system   hexagonal
Energy   -2.986 eV/atom

Entry 9:
Entry from the Open Quantum Materials Database: a relaxed CsDy2CuTe4 crystal (PBE).

```
16
Lattice="2.2172 -7.7944 0.0000 2.2172 7.7944 0.0000 0.0000 0.0000 15.5282" Properties=species:S:1:pos:R:3 pbc="T T T"
Cu 2.2172 2.5647 3.8820
Cu 2.2172 -2.5647 11.6461
Dy 2.2172 -5.7178 0.9807
Dy 2.2172 5.7178 14.5474
Dy 2.2172 5.7178 8.7448
Dy 2.2172 -5.7178 6.7834
Te 2.2172 0.0000 7.7641
Te 2.2172 4.0570 6.0871
Te 2.2172 6.6387 11.6461
Te 2.2172 -4.0570 9.4410
Te 2.2172 0.0000 0.0000
Te 2.2172 -6.6387 3.8820
Te 2.2172 4.0570 1.6770
Te 2.2172 -4.0570 13.8512
Cs 2.2172 -1.7106 3.8820
Cs 2.2172 1.7106 11.6461
```

Computed properties:
Crystal system   orthorhombic
Energy   -4.427 eV/atom

Entry 10:
Entry from the Open Quantum Materials Database: a relaxed Dy2Ho2BCl5 crystal (PBE).

```
10
Lattice="8.5920 -1.9002 0.0000 8.5920 1.9002 0.0000 -1.8050 0.0000 7.6014" Properties=species:S:1:pos:R:3 pbc="T T T"
Cl 1.4220 0.0000 6.3801
Cl 13.1741 0.0000 5.0380
Cl 13.9568 0.0000 1.2213
Cl 7.6894 0.0000 3.8007
Cl 2.2047 0.0000 2.5634
B 8.5920 0.0000 0.0000
Ho -1.3994 0.0000 5.9535
Ho 16.7783 0.0000 1.6479
Dy 10.9779 0.0000 0.6248
Dy 4.4010 0.0000 6.9766
```

Computed properties:
Crystal system   monoclinic
Energy   -5.089 eV/atom

Entry 11:
Entry from the Open Quantum Materials Database: a relaxed TlAgTe crystal (PBE).

```
12
Lattice="8.6020 0.0000 0.0000 0.0000 4.6348 0.0000 0.0000 0.0000 9.5532" Properties=species:S:1:pos:R:3 pbc="T T T"
Ag 4.0979 1.1587 8.7761
Ag 4.5041 3.4761 0.7771
Ag 8.3989 1.1587 5.5537
Ag 0.2031 3.4761 3.9995
Te 5.0582 3.4761 7.4789
Te 7.8449 1.1587 2.7024
Te 0.7571 3.4761 6.8508
Te 3.5439 1.1587 2.0742
Tl 7.3385 1.1587 8.6547
Tl 3.0375 1.1587 5.6751
Tl 5.5646 3.4761 3.8781
Tl 1.2636 3.4761 0.8985
```

Computed properties:
Crystal system   orthorhombic
Energy   -2.905 eV/atom

Entry 12:
Entry from the Open Quantum Materials Database: a relaxed KBa2IrS6 crystal (PBE).

```
10
Lattice="-5.5784 2.2798 -3.1933 -2.5659 5.4575 3.1851 1.3521 5.7065 -3.4815" Properties=species:S:1:pos:R:3 pbc="T T T"
S -5.7439 7.0607 -1.6313
S -3.8830 4.7110 -2.8908
S -3.2309 7.7464 -3.8809
S -1.0559 6.4039 -1.8715
S -2.9274 8.7507 -0.6028
S -3.5679 5.7223 0.3918
Ba -5.0701 10.0351 -2.6049
Ba -1.7259 3.4160 -0.8867
K 0.0000 0.0000 0.0000
Ir -3.3864 6.7026 -1.7398
```

Computed properties:
Crystal system   trigonal
Energy   -4.659 eV/atom